Entry 1:
# Ac6Ga2Pb3

Ac6Ga2Pb3 after structural relaxation (PBE, the Alexandria database). Values from VASP.

Summary:
Formation energy from the elements = -213 meV/atom
Space-group type = I4/mmm (139)
Total energy = -4.0160 eV per atom

Structure (Quantum ESPRESSO input):
```
&SYSTEM
  ibrav = 0, nat = 11, ntyp = 3
/
ATOMIC_SPECIES
Ac 227.00 Ac.upf
Ga 69.72 Ga.upf
Pb 207.20 Pb.upf
CELL_PARAMETERS angstrom
-3.0838 3.0838 11.4766
3.0838 -3.0838 11.4766
3.0838 3.0838 -11.4766
ATOMIC_POSITIONS crystal
Ac 0.0817 0.5817 0.5000
Ac 0.1964 0.1964 0.0000
Ac 0.4183 0.9183 0.5000
Ac 0.5817 0.0817 0.5000
Ac 0.8036 0.8036 0.0000
Ac 0.9183 0.4183 0.5000
Ga 0.0559 0.0559 0.0000
Ga 0.9441 0.9441 0.0000
Pb 0.3416 0.3416 0.0000
Pb 0.5000 0.5000 0.0000
Pb 0.6584 0.6584 0.0000
```

***

Entry 2:
# SrLiCuPd

SrLiCuPd after structural relaxation (PBE, the Alexandria database). Values from VASP.

Summary:
Formation energy from the elements = -304 meV/atom
Space-group type = R3m (160)
Total energy = -3.5252 eV per atom

Structure (Quantum ESPRESSO input):
```
&SYSTEM
  ibrav = 0, nat = 4, ntyp = 4
/
ATOMIC_SPECIES
Sr 87.62 Sr.upf
Li 6.94 Li.upf
Cu 63.55 Cu.upf
Pd 106.42 Pd.upf
CELL_PARAMETERS angstrom
2.1971 1.2685 5.2627
-2.1971 1.2685 5.2627
0.0000 -2.5370 5.2627
ATOMIC_POSITIONS crystal
Sr 0.0000 0.0000 0.0000
Li 0.5014 0.5014 0.5014
Cu 0.8077 0.8077 0.8077
Pd 0.1967 0.1967 0.1967
```

***

Entry 3:
# Zn4OsRh5

Zn4OsRh5 after structural relaxation (PBE, the Alexandria database). Values from VASP.

Summary:
Formation energy from the elements = -254 meV/atom
Space-group type = P4/mmm (123)
Total energy = -5.5626 eV per atom

Structure (Quantum ESPRESSO input):
```
&SYSTEM
  ibrav = 0, nat = 10, ntyp = 3
/
ATOMIC_SPECIES
Zn 65.41 Zn.upf
Os 190.23 Os.upf
Rh 102.91 Rh.upf
CELL_PARAMETERS angstrom
2.8787 0.0000 0.0000
0.0000 2.8787 0.0000
0.0000 0.0000 16.7113
ATOMIC_POSITIONS crystal
Zn 0.0000 0.0000 0.0969
Zn 0.0000 0.0000 0.2909
Zn 0.0000 0.0000 0.7091
Zn 0.0000 0.0000 0.9031
Os 0.0000 0.0000 0.5000
Rh 0.5000 0.5000 0.0000
Rh 0.5000 0.5000 0.1939
Rh 0.5000 0.5000 0.3934
Rh 0.5000 0.5000 0.6066
Rh 0.5000 0.5000 0.8061
```

***

Entry 4:
# ScBeAl2

ScBeAl2 after structural relaxation (PBE, the Alexandria database). Values from VASP.

Summary:
Formation energy from the elements = 141 meV/atom
Space-group type = R-3m (166)
Total energy = -4.2446 eV per atom

Structure (Quantum ESPRESSO input):
```
&SYSTEM
  ibrav = 0, nat = 4, ntyp = 3
/
ATOMIC_SPECIES
Sc 44.96 Sc.upf
Be 9.01 Be.upf
Al 26.98 Al.upf
CELL_PARAMETERS angstrom
1.4776 0.8531 8.8796
-1.4776 0.8531 8.8796
0.0000 -1.7062 8.8796
ATOMIC_POSITIONS crystal
Sc 0.0000 0.0000 0.0000
Be 0.5000 0.5000 0.5000
Al 0.2390 0.2390 0.2390
Al 0.7610 0.7610 0.7610
```

***

Entry 5:
# Nd2SmAl

Nd2SmAl after structural relaxation (PBE, the Alexandria database). Values from VASP.

Summary:
Formation energy from the elements = -148 meV/atom
Space-group type = P4/mmm (123)
Offset from the most stable computed form = 32.1 meV per atom
Total energy = -4.6476 eV per atom

Structure (Quantum ESPRESSO input):
```
&SYSTEM
  ibrav = 0, nat = 4, ntyp = 3
/
ATOMIC_SPECIES
Nd 144.24 Nd.upf
Sm 150.36 Sm.upf
Al 26.98 Al.upf
CELL_PARAMETERS angstrom
3.5921 0.0000 0.0000
0.0000 3.5921 0.0000
0.0000 0.0000 9.3872
ATOMIC_POSITIONS crystal
Nd 0.0000 0.0000 0.2136
Nd 0.0000 0.0000 0.7864
Sm 0.5000 0.5000 0.5000
Al 0.5000 0.5000 0.0000
```

***

Entry 6:
# K4IrBr

K4IrBr after structural relaxation (PBE, the Alexandria database). Values from VASP.

Summary:
Space-group type = F-43m (216)
Total energy = -1.9590 eV per atom
Raw formation energy = 0.53 eV per atom

Structure (Quantum ESPRESSO input):
```
&SYSTEM
  ibrav = 0, nat = 6, ntyp = 3
/
ATOMIC_SPECIES
K 39.10 K.upf
Ir 192.22 Ir.upf
Br 79.90 Br.upf
CELL_PARAMETERS angstrom
0.0000 4.6790 4.6790
4.6790 0.0000 4.6790
4.6790 4.6790 0.0000
ATOMIC_POSITIONS crystal
K 0.1252 0.1252 0.1252
K 0.1252 0.1252 0.6243
K 0.1252 0.6243 0.1252
K 0.6243 0.1252 0.1252
Ir 0.5000 0.5000 0.5000
Br 0.7500 0.7500 0.7500
```

***

Entry 7:
# TaCdTe2

TaCdTe2 after structural relaxation (PBE, the Alexandria database). Values from VASP.

Summary:
Space-group type = I-4m2 (119)
Total energy = -4.2100 eV per atom
Raw formation energy = 0.55 eV per atom

Structure (Quantum ESPRESSO input):
```
&SYSTEM
  ibrav = 0, nat = 4, ntyp = 3
/
ATOMIC_SPECIES
Ta 180.95 Ta.upf
Cd 112.41 Cd.upf
Te 127.60 Te.upf
CELL_PARAMETERS angstrom
-2.1428 2.1428 5.1321
2.1428 -2.1428 5.1321
2.1428 2.1428 -5.1321
ATOMIC_POSITIONS crystal
Ta 0.0000 0.0000 0.0000
Cd 0.7500 0.2500 0.5000
Te 0.2500 0.7500 0.5000
Te 0.5000 0.5000 0.0000
```

***

> Among the records above, which one has the highest total energy?

K4IrBr